Entry 1:
AsS2BrN after structural relaxation. Source: Alexandria via LeMat-Bulk, functional PBEsol.

Cell: 4.9404 4.9404 3.6226 Å, 90.00 90.00 90.00°
Closest atoms and distances in Å follow each position.
Fractional coordinates of all 5 atoms:
As 0.0000 0.0000 0.0000  8 S 3.06
S 0.0000 0.5000 0.5000  2 Br 2.47
S 0.5000 0.0000 0.5000  2 Br 2.47
Br 0.5000 0.5000 0.5000  2 N 1.81
N 0.5000 0.5000 0.0000  2 Br 1.81

Computed properties:
Formation energy without anion corrections ... 7.641 eV/f.u.

Entry 2:
HgTeH3 after structural relaxation. Source: Alexandria via LeMat-Bulk, functional PBEsol.

Cell: 4.1039 4.1039 4.1039 Å, 90.00 90.00 90.00°
Closest atoms and distances in Å follow each position.
Fractional coordinates of all 5 atoms:
Hg 0.0000 0.0000 0.0000  12 H 2.90
Te 0.5000 0.5000 0.5000  6 H 2.05
H 0.0000 0.5000 0.5000  2 Te 2.05
H 0.5000 0.0000 0.5000  2 Te 2.05
H 0.5000 0.5000 0.0000  2 Te 2.05

Computed properties:
DFT total energy ... -2.33 eV/atom

Entry 3:
NaMgBeI2 after structural relaxation. Source: Alexandria via LeMat-Bulk, functional PBEsol.

Cell: 5.7998 5.7998 5.1500 Å, 90.00 90.00 90.00°
Closest atoms and distances in Å follow each position.
Fractional coordinates of all 5 atoms:
Na 0.0000 0.0000 0.0000  2 Be 2.57
Mg 0.5000 0.5000 0.5000  8 I 3.88, 4 Be 4.10
Be 0.0000 0.0000 0.5000  2 Na 2.57
I 0.0000 0.5000 0.0000  2 Na 2.90
I 0.5000 0.0000 0.0000  2 Na 2.90

Computed properties:
Formation energy without anion corrections ... 1.999 eV/f.u.